VASP calculation (GGA-PBE) on a relaxed NaCr2GeTe crystal.

```
NaCr2GeTe
1.0
5.074 0.000 0.000
0.000 5.074 0.000
0.000 0.000 5.239
Na Cr Ge Te
1 2 1 1
Direct
0.000 0.000 0.000
0.000 0.500 0.000
0.500 0.000 0.000
0.500 0.500 0.500
0.000 0.000 0.500
```

## Properties
raw formation energy: 1369 meV per atom
uncorrected energy: -4.30 eV per atom



VASP calculation (GGA-PBE) on a relaxed NaTiCrGe2 crystal.

```
NaTiCrGe2
1.0
4.741 0.000 0.000
0.000 4.741 0.000
0.000 0.000 4.654
Na Ti Cr Ge
1 1 1 2
Direct
0.000 0.000 0.000
0.000 0.000 0.500
0.500 0.500 0.500
0.000 0.500 0.000
0.500 0.000 0.000
```

## Properties
formation enthalpy at 0 K: 1807 meV per atom
uncorrected energy: -3.81 eV per atom



VASP calculation (GGA-PBE) on a relaxed Nb2CrGe crystal.

```
Nb2CrGe
1.0
1.531 0.884 8.174
-1.531 0.884 8.174
0.000 -1.768 8.174
Nb Cr Ge
2 1 1
Direct
0.244 0.244 0.244
0.756 0.756 0.756
0.500 0.500 0.500
0.000 0.000 0.000
```

## Properties
formation enthalpy at 0 K: 168 meV per atom
uncorrected energy: -8.43 eV per atom